The following is a DFT calculation (PBE-GGA) of a relaxed structure of TmNpS2.

a b c (Å): 3.751 3.751 7.237
angles (deg): 74.98 74.98 60.00
Element x y z (fractional)
Tm 0.671 0.671 0.988
S 0.079 0.079 0.763
Np 0.496 0.496 0.513
S 0.255 0.255 0.235

Values from the calculation:
- Final energy: -7.989 eV per atom
- Symmetry: R3m
- Energy relative to the elements, uncorrected: -1.572 eV/atom
- M_tot: 4.54 Bohr magnetons per cell
- Volume: 84.13 Å³ per cell